This record from Alexandria via LeMat-Bulk describes a geometry-optimized Li2CeCuF8 structure. The functional is PBE-GGA.

Unit cell a=3.980 b=4.956 c=7.635 alpha=88.88 beta=89.25 gamma=88.81
Element x y z (fractional)
Li: 0.023 0.050 0.310
Li: 0.977 0.950 0.690
Ce: 0.500 0.500 0.000
Cu: 0.500 0.500 0.500
F: 0.051 0.264 0.067
F: 0.154 0.237 0.529
F: 0.388 0.811 0.185
F: 0.402 0.679 0.715
F: 0.598 0.321 0.285
F: 0.612 0.189 0.815
F: 0.846 0.763 0.471
F: 0.949 0.736 0.933

* E_form (uncorrected): -2874 meV/atom
* total magnetic moment: 1.0 μB per cell
* SG: P-1
* calculated total energy: -63.317 eV/f.u.